(1)
A plane-wave DFT calculation with GGA+U was carried out for a geometry-optimized ZnNiPO2 structure.

Unit cell a=3.7036 b=3.7036 c=5.1294 alpha=90.00 beta=90.00 gamma=90.00
With the nearest neighbours (Å) after each atom.
Fractional coordinates of all 5 atoms:
Ni1 0.5000 0.5000 0.5000  4 P 2.62
Zn1 0.0000 0.0000 0.0000  4 O 1.85
O1 0.0000 0.5000 0.0000  2 Zn 1.85
O2 0.5000 0.0000 0.0000  2 Zn 1.85
P1 0.0000 0.0000 0.5000  2 Zn 2.56, 4 Ni 2.62

Computed properties:
Energy above the most stable polymorph in this dataset: 0.218 eV per atom
Total moment: 0.307 μB per atom
Space group: P4/mmm, No. 123

=====

(2)
A plane-wave DFT calculation with GGA+U was carried out for a geometry-optimized ZrNiP2O structure.

Unit cell a=4.4909 b=4.4909 c=3.6291 alpha=90.00 beta=90.00 gamma=90.00
With the nearest neighbours (Å) after each atom.
Fractional coordinates of all 5 atoms:
Ni1 0.0000 0.0000 0.0000  2 O 1.81
O1 0.0000 0.0000 0.5000  2 Ni 1.81
Zr1 0.5000 0.5000 0.5000  8 P 2.89, 4 O 3.18
P1 0.0000 0.5000 0.0000  2 Ni 2.25
P2 0.5000 0.0000 0.0000  2 Ni 2.25

Computed properties:
Energy above the most stable polymorph in this dataset: 0.000 eV per atom
Total moment: 0.013 μB per atom
Space group: P4/mmm, No. 123

=====

(3)
A plane-wave DFT calculation with GGA+U was carried out for a geometry-optimized ZrNiPO2 structure.

Unit cell a=4.0046 b=4.0046 c=5.6200 alpha=90.00 beta=90.00 gamma=90.00
With the nearest neighbours (Å) after each atom.
Fractional coordinates of all 5 atoms:
Ni1 0.5000 0.5000 0.5000  4 P 2.83
O1 0.0000 0.5000 0.0000  2 Zr 2.00
O2 0.5000 0.0000 0.0000  2 Zr 2.00
Zr1 0.0000 0.0000 0.0000  4 O 2.00
P1 0.0000 0.0000 0.5000  2 Zr 2.81, 4 Ni 2.83

Computed properties:
Energy above the most stable polymorph in this dataset: 0.000 eV per atom
Total moment: 0.326 μB per atom
Space group: P4/mmm, No. 123

=====

(4)
A plane-wave DFT calculation with GGA+U was carried out for a geometry-optimized Zr4NiP6O24 structure.

Unit cell a=9.0007 b=9.0693 c=12.6210 alpha=90.00 beta=90.38 gamma=90.00
With the nearest neighbours (Å) after each atom.
Fractional coordinates of all 70 atoms:
Zr1 0.2516 0.2773 0.8955  6 O 2.03-2.26
Zr2 0.7516 0.7227 0.3955  6 O 2.03-2.26
Zr3 0.7559 0.1934 0.1159  5 O 2.02-2.22
Zr4 0.2559 0.8066 0.6159  5 O 2.02-2.22
Zr5 0.7450 0.2785 0.6182  6 O 2.05-2.13
Zr6 0.2450 0.7215 0.1182  6 O 2.05-2.13
Zr7 0.2465 0.2296 0.3779  6 O 2.08-2.18
Zr8 0.7465 0.7704 0.8779  6 O 2.08-2.18
Ni1 0.2218 0.4610 0.6698  4 O 1.99-2.05
Ni2 0.7218 0.5390 0.1698  4 O 1.99-2.05
P1 0.9043 0.6287 0.6481  4 O 1.53-1.57
P2 0.4043 0.3713 0.1481  4 O 1.53-1.57
P3 0.1060 0.8684 0.3569  4 O 1.54-1.55
P4 0.6060 0.1316 0.8569  4 O 1.54-1.55
P5 0.9656 0.4995 0.0076  4 O 1.53-1.58
P6 0.4656 0.5005 0.5076  4 O 1.53-1.58
P7 0.0320 0.9987 0.9915  4 O 1.53-1.55
P8 0.5320 0.0013 0.4915  4 O 1.53-1.55
P9 0.3807 0.6442 0.8516  4 O 1.53-1.59
P10 0.8807 0.3558 0.3516  4 O 1.53-1.59
P11 0.6098 0.8361 0.1404  4 O 1.52-1.59
P12 0.1098 0.1639 0.6404  4 O 1.52-1.59
O1 0.8595 0.4687 0.6690  1 P 1.53
O2 0.3595 0.5313 0.1690  1 P 1.53
O3 0.1300 0.0364 0.3449  1 P 1.55
O4 0.6300 0.9636 0.8449  1 P 1.55
O5 0.0644 0.3890 0.9499  1 P 1.53
O6 0.5644 0.6110 0.4499  1 P 1.53
O7 0.9497 0.1077 0.0656  1 P 1.55
O8 0.4497 0.8923 0.5656  1 P 1.55
O9 0.8348 0.7354 0.7283  1 P 1.54
O10 0.3348 0.2646 0.2283  1 P 1.54
O11 0.1894 0.7813 0.2714  1 P 1.54
O12 0.6894 0.2187 0.7714  1 P 1.54
O13 0.3189 0.6733 0.9619  1 P 1.53
O14 0.8189 0.3267 0.4619  1 P 1.53
O15 0.6784 0.7591 0.0432  1 P 1.54
O16 0.1784 0.2409 0.5432  1 P 1.54
O17 0.8463 0.4142 0.0757  1 P 1.58
O18 0.3463 0.5858 0.5757  1 P 1.58
O19 0.1387 0.0871 0.9203  1 P 1.54
O20 0.6387 0.9129 0.4203  1 P 1.54
O21 0.3219 0.7568 0.7696  1 P 1.55
O22 0.8219 0.2432 0.2696  1 P 1.55
O23 0.6593 0.7295 0.2337  1 P 1.59
O24 0.1593 0.2705 0.7337  1 P 1.59
O25 0.8566 0.6785 0.5358  1 P 1.55
O26 0.3566 0.3215 0.0358  1 P 1.55
O27 0.1612 0.8202 0.4681  1 P 1.55
O28 0.6612 0.1798 0.9681  1 P 1.55
O29 0.3222 0.4870 0.8137  1 P 1.59
O30 0.8222 0.5130 0.3137  1 P 1.59
O31 0.6727 0.9915 0.1598  1 P 1.54
O32 0.1727 0.0085 0.6598  1 P 1.54
O33 0.5521 0.6456 0.8507  1 P 1.54
O34 0.0521 0.3544 0.3507  1 P 1.54
O35 0.4412 0.8445 0.1350  1 P 1.52
O36 0.9412 0.1555 0.6350  1 P 1.52
O37 0.0543 0.5931 0.0874  1 P 1.54
O38 0.5543 0.4069 0.5874  1 P 1.54
O39 0.9203 0.9125 0.9236  1 P 1.53
O40 0.4203 0.0875 0.4236  1 P 1.53
O41 0.0789 0.6363 0.6554  1 P 1.57
O42 0.5789 0.3637 0.1554  1 P 1.57
O43 0.9384 0.8333 0.3469  1 P 1.55
O44 0.4384 0.1667 0.8469  1 P 1.55
O45 0.8808 0.5943 0.9270  1 P 1.53
O46 0.3808 0.4057 0.4270  1 P 1.53
O47 0.1256 0.8968 0.0615  1 P 1.53
O48 0.6256 0.1032 0.5615  1 P 1.53

Computed properties:
Total moment: 0.057 μB per atom
Electronic total energy: -559.637 eV/cell
Space group: Pc, No. 7

=====

(5)
A plane-wave DFT calculation with GGA+U was carried out for a geometry-optimized ZrNiP2O structure.

Unit cell a=5.1587 b=5.1587 c=3.9521 alpha=90.00 beta=90.00 gamma=90.00
With the nearest neighbours (Å) after each atom.
Fractional coordinates of all 5 atoms:
Ni1 0.5000 0.5000 0.5000  8 P 3.25
O1 0.0000 0.0000 0.5000  2 Zr 1.98
Zr1 0.0000 0.0000 0.0000  2 O 1.98
P1 0.0000 0.5000 0.0000  2 Zr 2.58
P2 0.5000 0.0000 0.0000  2 Zr 2.58

Computed properties:
Energy above the most stable polymorph in this dataset: 0.335 eV per atom
Total moment: 0.254 μB per atom
Space group: P4/mmm, No. 123

=====

(6)
A plane-wave DFT calculation with GGA+U was carried out for a geometry-optimized ZrNiPO2 structure.

Unit cell a=3.8102 b=3.8102 c=4.3478 alpha=90.00 beta=90.00 gamma=90.00
With the nearest neighbours (Å) after each atom.
Fractional coordinates of all 5 atoms:
Ni1 0.0000 0.0000 0.0000  4 O 1.91
O1 0.0000 0.5000 0.0000  2 Ni 1.91
O2 0.5000 0.0000 0.0000  2 Ni 1.91
Zr1 0.5000 0.5000 0.5000  4 P 2.69, 8 O 2.89
P1 0.0000 0.0000 0.5000  2 Ni 2.17

Computed properties:
Energy above the most stable polymorph in this dataset: 0.300 eV per atom
Total moment: 0.148 μB per atom
Space group: P4/mmm, No. 123

=====

(7)
A plane-wave DFT calculation with GGA+U was carried out for a geometry-optimized PaNi2O4 structure.

Unit cell a=3.5205 b=4.6595 c=6.3862 alpha=108.20 beta=106.00 gamma=90.00
With the nearest neighbours (Å) after each atom.
Fractional coordinates of all 7 atoms:
Pa1 0.0000 0.0000 0.0000  6 O 2.18-2.20
Ni1 0.3014 0.3160 0.6028  4 O 1.93-2.16
Ni2 0.6986 0.6840 0.3972  4 O 1.93-2.16
O1 0.1532 0.4006 0.3064  3 Ni 1.98-2.16, 1 Pa 2.18
O2 0.8468 0.5994 0.6936  3 Ni 1.98-2.16, 1 Pa 2.18
O3 0.4306 0.1654 0.8612  1 Ni 1.93
O4 0.5694 0.8346 0.1388  1 Ni 1.93

Computed properties:
Total moment: 0.428 μB per atom
Electronic total energy: -48.552 eV/cell
Space group: C2/m, No. 12

=====

(8)
A plane-wave DFT calculation with GGA+U was carried out for a geometry-optimized Pa3Ni5O12 structure.

Unit cell a=10.8277 b=10.8277 c=10.8277 alpha=109.47 beta=109.47 gamma=109.47
With the nearest neighbours (Å) after each atom.
Fractional coordinates of all 80 atoms:
Ni1 0.1250 0.3750 0.2500  4 O 1.94
Ni2 0.0000 0.5000 0.0000  6 O 2.09
Ni3 0.0000 0.0000 0.0000  6 O 2.09
Ni4 0.3750 0.2500 0.1250  4 O 1.94
Ni5 0.5000 0.0000 0.5000  6 O 2.09
Ni6 0.5000 0.5000 0.0000  6 O 2.09
Ni7 0.1250 0.7500 0.3750  4 O 1.94
Ni8 0.7500 0.1250 0.8750  4 O 1.94
Ni9 0.7500 0.6250 0.3750  4 O 1.94
Ni10 0.3750 0.1250 0.7500  4 O 1.94
Ni11 0.6250 0.8750 0.2500  4 O 1.94
Ni12 0.5000 0.5000 0.5000  6 O 2.09
Ni13 0.5000 0.0000 0.0000  6 O 2.09
Ni14 0.0000 0.0000 0.5000  6 O 2.09
Ni15 0.2500 0.3750 0.6250  4 O 1.94
Ni16 0.2500 0.8750 0.1250  4 O 1.94
Ni17 0.0000 0.5000 0.5000  6 O 2.09
Ni18 0.8750 0.2500 0.6250  4 O 1.94
Ni19 0.6250 0.7500 0.8750  4 O 1.94
Ni20 0.8750 0.6250 0.7500  4 O 1.94
Pa1 0.7500 0.3750 0.1250  8 O 2.29-2.40
Pa2 0.8750 0.7500 0.1250  8 O 2.29-2.40
Pa3 0.3750 0.7500 0.6250  8 O 2.29-2.40
Pa4 0.2500 0.1250 0.3750  8 O 2.29-2.40
Pa5 0.8750 0.1250 0.2500  8 O 2.29-2.40
Pa6 0.3750 0.6250 0.2500  8 O 2.29-2.40
Pa7 0.6250 0.3750 0.7500  8 O 2.29-2.40
Pa8 0.1250 0.8750 0.7500  8 O 2.29-2.40
Pa9 0.7500 0.8750 0.6250  8 O 2.29-2.40
Pa10 0.6250 0.2500 0.3750  8 O 2.29-2.40
Pa11 0.1250 0.2500 0.8750  8 O 2.29-2.40
Pa12 0.2500 0.6250 0.8750  8 O 2.29-2.40
O1 0.7160 0.1355 0.0422  2 Ni 1.94-2.09
O2 0.3262 0.5422 0.4067  2 Ni 1.94-2.09
O3 0.9578 0.3645 0.2840  2 Ni 1.94-2.09
O4 0.5422 0.2160 0.1355  2 Ni 1.94-2.09
O5 0.5806 0.7160 0.6738  2 Ni 1.94-2.09
O6 0.9578 0.5933 0.1738  2 Ni 1.94-2.09
O7 0.3262 0.7840 0.4194  2 Ni 1.94-2.09
O8 0.0933 0.9194 0.1355  2 Ni 1.94-2.09
O9 0.5933 0.9578 0.6738  2 Ni 1.94-2.09
O10 0.7160 0.5806 0.1738  2 Ni 1.94-2.09
O11 0.7840 0.4578 0.3645  2 Ni 1.94-2.09
O12 0.8262 0.9067 0.0422  2 Ni 1.94-2.09
O13 0.1355 0.7160 0.5422  2 Ni 1.94-2.09
O14 0.3645 0.4067 0.0806  2 Ni 1.94-2.09
O15 0.0806 0.9067 0.3645  2 Ni 1.94-2.09
O16 0.4194 0.1355 0.5933  2 Ni 1.94-2.09
O17 0.0806 0.1738 0.2160  2 Ni 1.94-2.09
O18 0.4578 0.6738 0.0933  2 Ni 1.94-2.09
O19 0.8262 0.9194 0.2840  2 Ni 1.94-2.09
O20 0.1355 0.4194 0.0933  2 Ni 1.94-2.09
O21 0.3645 0.9578 0.7840  2 Ni 1.94-2.09
O22 0.5933 0.6355 0.4194  2 Ni 1.94-2.09
O23 0.9067 0.8262 0.5422  2 Ni 1.94-2.09
O24 0.7840 0.3262 0.9194  2 Ni 1.94-2.09
O25 0.4067 0.3645 0.5806  2 Ni 1.94-2.09
O26 0.0933 0.1738 0.4578  2 Ni 1.94-2.09
O27 0.2160 0.6738 0.0806  2 Ni 1.94-2.09
O28 0.1738 0.0806 0.7160  2 Ni 1.94-2.09
O29 0.6355 0.0422 0.2160  2 Ni 1.94-2.09
O30 0.8645 0.5806 0.9067  2 Ni 1.94-2.09
O31 0.5422 0.3262 0.9067  2 Ni 1.94-2.09
O32 0.5806 0.8645 0.4067  2 Ni 1.94-2.09
O33 0.9194 0.8262 0.7840  2 Ni 1.94-2.09
O34 0.9194 0.0933 0.6355  2 Ni 1.94-2.09
O35 0.8645 0.2840 0.4578  2 Ni 1.94-2.09
O36 0.1738 0.0933 0.9578  2 Ni 1.94-2.09
O37 0.6355 0.5933 0.9194  2 Ni 1.94-2.09
O38 0.4067 0.0422 0.3262  2 Ni 1.94-2.09
O39 0.2840 0.4194 0.8262  2 Ni 1.94-2.09
O40 0.2160 0.5422 0.6355  2 Ni 1.94-2.09
O41 0.9067 0.0806 0.8645  2 Ni 1.94-2.09
O42 0.6738 0.2160 0.5806  2 Ni 1.94-2.09
O43 0.4578 0.7840 0.8645  2 Ni 1.94-2.09
O44 0.0422 0.4067 0.8262  2 Ni 1.94-2.09
O45 0.4194 0.2840 0.3262  2 Ni 1.94-2.09
O46 0.0422 0.6355 0.7160  2 Ni 1.94-2.09
O47 0.6738 0.4578 0.5933  2 Ni 1.94-2.09
O48 0.2840 0.8645 0.9578  2 Ni 1.94-2.09

Computed properties:
Total moment: 0.448 μB per atom
Electronic total energy: -580.914 eV/cell
Space group: Ia-3d, No. 230

=====

(9)
A plane-wave DFT calculation with GGA+U was carried out for a geometry-optimized PaNiO structure.

Unit cell a=3.2618 b=7.3927 c=7.7486 alpha=90.95 beta=102.15 gamma=90.00
With the nearest neighbours (Å) after each atom.
Fractional coordinates of all 12 atoms:
O1 0.0634 0.3685 0.1269  4 Pa 2.43-2.47
O2 0.4520 0.1413 0.9040  3 Pa 2.17-2.33
O3 0.5480 0.8587 0.0960  3 Pa 2.17-2.33
O4 0.9366 0.6315 0.8731  4 Pa 2.43-2.47
Ni1 0.2485 0.6272 0.4970  4 Ni 2.46-2.49, 3 Pa 2.67-2.74
Ni2 0.7537 0.8761 0.5075  4 Ni 2.46, 2 Pa 2.68
Ni3 0.7515 0.3728 0.5030  4 Ni 2.46-2.49, 3 Pa 2.67-2.74
Ni4 0.2463 0.1239 0.4925  4 Ni 2.46, 2 Pa 2.68
Pa1 0.3908 0.4042 0.7815  1 O 2.17
Pa2 0.6058 0.1344 0.2115  2 O 2.20-2.33
Pa3 0.6092 0.5958 0.2185  1 O 2.17
Pa4 0.3942 0.8656 0.7885  2 O 2.20-2.33

Computed properties:
Total moment: 0.110 μB per atom
Electronic total energy: -80.797 eV/cell
Space group: C2/m, No. 12

=====

(10)
A plane-wave DFT calculation with GGA+U was carried out for a geometry-optimized PaNi2O6 structure.

Unit cell a=3.8453 b=5.2029 c=6.1589 alpha=71.16 beta=71.81 gamma=68.31
With the nearest neighbours (Å) after each atom.
Fractional coordinates of all 9 atoms:
Pa1 0.0000 0.5000 0.5000  6 O 2.14-2.28
Ni1 0.1704 0.7409 0.9183  6 O 1.87-1.98
Ni2 0.8296 0.2591 0.0817  6 O 1.87-1.98
O1 0.7240 0.6462 0.9057  3 Ni 1.91-1.98
O2 0.2760 0.3538 0.0943  3 Ni 1.91-1.98
O3 0.9665 0.8600 0.2070  2 Ni 1.90-1.91
O4 0.3525 0.6806 0.6143  1 Ni 1.87
O5 0.0335 0.1400 0.7930  2 Ni 1.90-1.91
O6 0.6475 0.3194 0.3857  1 Ni 1.87

Computed properties:
Total moment: 0.111 μB per atom
Electronic total energy: -59.404 eV/cell
Space group: C2/m, No. 12

=====

(11)
A plane-wave DFT calculation with GGA+U was carried out for a geometry-optimized Pa2Ni3O8 structure.

Unit cell a=5.0265 b=5.8068 c=5.8068 alpha=72.49 beta=89.35 gamma=89.35
With the nearest neighbours (Å) after each atom.
Fractional coordinates of all 13 atoms:
Pa1 0.5625 0.6940 0.6940  6 O 2.11-2.36
Pa2 0.4375 0.3060 0.3060  6 O 2.11-2.36
Ni1 0.5000 0.0000 0.0000  6 O 1.98-2.11
Ni2 0.0000 0.7752 0.2248  6 O 2.11-2.29
Ni3 0.0000 0.2248 0.7752  6 O 2.11-2.29
O1 0.7646 0.4448 0.4448  1 Pa 2.11, 2 Ni 2.29
O2 0.2354 0.5552 0.5552  1 Pa 2.11, 2 Ni 2.29
O3 0.8274 0.8795 0.8795  3 Ni 1.98-2.11, 1 Pa 2.20
O4 0.1726 0.1205 0.1205  3 Ni 1.98-2.11, 1 Pa 2.20
O5 0.6711 0.3428 0.9420  2 Ni 2.11-2.12, 2 Pa 2.18-2.36
O6 0.6711 0.9420 0.3428  2 Ni 2.11-2.12, 2 Pa 2.18-2.36
O7 0.3289 0.0580 0.6572  2 Ni 2.11-2.12, 2 Pa 2.18-2.36
O8 0.3289 0.6572 0.0580  2 Ni 2.11-2.12, 2 Pa 2.18-2.36

Computed properties:
Total moment: 0.461 μB per atom
Electronic total energy: -96.656 eV/cell
Space group: C2/m, No. 12

=====

(12)
A plane-wave DFT calculation with GGA+U was carried out for a geometry-optimized PaNi2PbO6 structure.

Unit cell a=5.8264 b=6.0159 c=8.2900 alpha=90.00 beta=96.03 gamma=90.00
With the nearest neighbours (Å) after each atom.
Fractional coordinates of all 20 atoms:
Pa1 0.5000 0.0000 0.0000  6 O 2.13-2.23
Pa2 0.0000 0.5000 0.5000  6 O 2.13-2.23
Ni1 0.9665 0.9208 0.3269  4 O 2.00-2.16
Ni2 0.4665 0.5792 0.8269  4 O 2.00-2.16
Ni3 0.0335 0.0792 0.6731  4 O 2.00-2.16
Ni4 0.5335 0.4208 0.1731  4 O 2.00-2.16
Pb1 0.5000 0.0000 0.5000  6 O 2.34-2.50
Pb2 0.0000 0.5000 0.0000  6 O 2.34-2.50
O1 0.3607 0.6698 0.0523  2 Ni 2.01-2.10, 1 Pa 2.21
O2 0.8607 0.8302 0.5523  2 Ni 2.01-2.10, 1 Pa 2.21
O3 0.6393 0.3302 0.9477  2 Ni 2.01-2.10, 1 Pa 2.21
O4 0.1393 0.1698 0.4477  2 Ni 2.01-2.10, 1 Pa 2.21
O5 0.2521 0.7035 0.4033  1 Pa 2.13, 1 Ni 2.16, 1 Pb 2.38
O6 0.7521 0.7965 0.9033  1 Pa 2.13, 1 Ni 2.16, 1 Pb 2.38
O7 0.7479 0.2965 0.5967  1 Pa 2.13, 1 Ni 2.16, 1 Pb 2.38
O8 0.2479 0.2035 0.0967  1 Pa 2.13, 1 Ni 2.16, 1 Pb 2.38
O9 0.8227 0.5819 0.2550  1 Ni 2.00, 1 Pa 2.23
O10 0.3227 0.9181 0.7550  1 Ni 2.00, 1 Pa 2.23
O11 0.1773 0.4181 0.7450  1 Ni 2.00, 1 Pa 2.23
O12 0.6773 0.0819 0.2450  1 Ni 2.00, 1 Pa 2.23

Computed properties:
Total moment: 0.459 μB per atom
Electronic total energy: -130.414 eV/cell
Space group: P2_1/c, No. 14

=====

- Which value of total moment does entry 2 give?
  0.013 μB per atom